# PbAuBr2 | Alexandria via LeMat-Bulk | PBE | optimized geometry
data_PbAuBr2
_symmetry_space_group_name_H-M 'F m -3 m'
_symmetry_Int_Tables_number 225
_symmetry_space_group_name_Hall '-F 4 2 3'
_cell_length_a 7.5321
_cell_length_b 7.5321
_cell_length_c 7.5321
_cell_angle_alpha 90.00
_cell_angle_beta 90.00
_cell_angle_gamma 90.00
loop_
_atom_site_label
_atom_site_type_symbol
_atom_site_fract_x
_atom_site_fract_y
_atom_site_fract_z
Pb1 Pb 0.0000 0.0000 0.0000
Au1 Au 0.0000 0.0000 0.5000
Br1 Br 0.2500 0.2500 0.2500
# DOS at the Fermi energy	3.746	states/eV/f.u.
# ΔE to the lowest computed polymorph	224	meV/atom
# formation energy without anion corrections	-0.13	eV/atom

=====

# MnNi2Cl | Alexandria via LeMat-Bulk | PBE | optimized geometry
data_MnNi2Cl
_symmetry_space_group_name_H-M 'P 4/m m m'
_symmetry_Int_Tables_number 123
_symmetry_space_group_name_Hall '-P 4 2'
_cell_length_a 3.6815
_cell_length_b 3.6815
_cell_length_c 3.9877
_cell_angle_alpha 90.00
_cell_angle_beta 90.00
_cell_angle_gamma 90.00
loop_
_atom_site_label
_atom_site_type_symbol
_atom_site_fract_x
_atom_site_fract_y
_atom_site_fract_z
Mn1 Mn 0.0000 0.0000 0.0000
Ni1 Ni 0.0000 0.5000 0.5000
Cl1 Cl 0.5000 0.5000 0.0000
# DOS at the Fermi energy	4.515	states/eV/f.u.
# ΔE to the lowest computed polymorph	394	meV/atom
# formation energy without anion corrections	0.47	eV/atom

=====

# Y2Th2Al4Zn | Alexandria via LeMat-Bulk | PBE | optimized geometry
data_Y2Th2Al4Zn
_symmetry_space_group_name_H-M 'I 4/m m m'
_symmetry_Int_Tables_number 139
_symmetry_space_group_name_Hall '-I 4 2'
_cell_length_a 6.9759
_cell_length_b 6.9759
_cell_length_c 9.0036
_cell_angle_alpha 90.00
_cell_angle_beta 90.00
_cell_angle_gamma 90.00
loop_
_atom_site_label
_atom_site_type_symbol
_atom_site_fract_x
_atom_site_fract_y
_atom_site_fract_z
Y1 Y 0.0000 0.0000 0.1933
Th1 Th 0.0000 0.5000 0.2500
Al1 Al 0.2455 0.2455 0.5000
Zn1 Zn 0.0000 0.0000 0.5000
# DOS at the Fermi energy	7.087	states/eV/f.u.
# energy relative to the elements	-119.2	meV/atom